Entry 1:
# PBE TlAg2W, relaxed
data_TlAg2W
_chemical_formula_sum 'Tl1 Ag2 W1'
_cell_length_a 2.8832
_cell_length_b 4.8590
_cell_length_c 5.3753
_cell_angle_alpha 90.00
_cell_angle_beta 90.00
_cell_angle_gamma 90.00
_space_group_name_H-M_alt 'P m m 2'
_space_group_IT_number 25
loop_
_space_group_symop_operation_xyz
'x,y,z'
'-x,-y,z'
'-x,y,z'
'x,-y,z'
loop_
_atom_site_label
_atom_site_fract_x
_atom_site_fract_y
_atom_site_fract_z
_atom_site_occupancy
Tl1 0.0000 0.0000 0.0000 1
Ag1 0.0000 0.5000 0.3734 1
Ag2 0.5000 0.0000 0.5124 1
W1 0.5000 0.5000 0.8543 1
# relative energy among the computed polymorphs: 145 meV/atom
# calculated total energy: -4.527 eV/atom
# V: 75.3 Å³ per cell

Entry 2:
# PBE La3Pr2YSe6, relaxed
data_La3Pr2YSe6
_chemical_formula_sum 'La6 Pr4 Y2 Se12'
_cell_length_a 7.3740
_cell_length_b 12.8056
_cell_length_c 7.3668
_cell_angle_alpha 90.00
_cell_angle_beta 109.57
_cell_angle_gamma 90.00
_space_group_name_H-M_alt 'C 1 2/m 1'
_space_group_IT_number 12
loop_
_space_group_symop_operation_xyz
'x,y,z'
'-x,-y,-z'
'-x,y,-z'
'x,-y,z'
'x+1/2,y+1/2,z'
'-x+1/2,-y+1/2,-z'
'-x+1/2,y+1/2,-z'
'x+1/2,-y+1/2,z'
loop_
_atom_site_label
_atom_site_fract_x
_atom_site_fract_y
_atom_site_fract_z
_atom_site_occupancy
La1 0.0000 0.0000 0.0000 1
La2 0.0000 0.3291 0.0000 1
Pr1 0.0000 0.1667 0.5000 1
Y1 0.0000 0.5000 0.5000 1
Se1 0.2421 0.3381 0.7413 1
Se2 0.2418 0.5000 0.2545 1
# calculated total energy: -6.224 eV/atom
# energy relative to the elements, uncorrected: -23.0 eV per formula unit
# V: 655.5 Å³ per cell